## DyHf3Pt12 (PBE)

Data for crystalline DyHf3Pt12 at its relaxed geometry.

a = 4.0489 Å, b = 4.0489 Å, c = 16.2578 Å
α = 90.00°, β = 90.00°, γ = 90.00°
Closest atoms and distances in Å follow each position.
Space group P4/mmm (No. 123)
Symmetry-distinct sites (fractional):
Dy: 0.0000 0.0000 0.0000  12 Pt 2.86-2.95
Hf: 0.0000 0.0000 0.2508  12 Pt 2.80-2.88
Hf: 0.0000 0.0000 0.5000  12 Pt 2.84-2.86
Pt: 0.0000 0.5000 0.1317  2 Hf 2.80, 8 Pt 2.84-2.95, 2 Dy 2.95
Pt: 0.0000 0.5000 0.3770  8 Pt 2.84-2.86, 4 Hf 2.84-2.88
Pt: 0.5000 0.5000 0.0000  4 Dy 2.86, 8 Pt 2.95
Pt: 0.5000 0.5000 0.2544  8 Pt 2.84, 4 Hf 2.86
Pt: 0.5000 0.5000 0.5000  8 Pt 2.84, 4 Hf 2.86

Values from the calculation:
As for the formation energy: -1.109 eV per atom. Its density of states at the Fermi level is 2.484 states/eV per cell. As for the magnetization: 0.0 μB/cell.

=====

## DyTh2Ga2 (PBE)

Data for crystalline DyTh2Ga2 at its relaxed geometry.

a = 7.7963 Å, b = 7.7963 Å, c = 4.4008 Å
α = 90.00°, β = 90.00°, γ = 90.00°
Closest atoms and distances in Å follow each position.
Space group P4/mbm (No. 127)
Symmetry-distinct sites (fractional):
Dy: 0.0000 0.0000 0.0000  4 Ga 3.10
Th: 0.1739 0.3261 0.5000  6 Ga 3.15-3.21
Ga: 0.1212 0.6212 0.0000  1 Ga 2.67

Values from the calculation:
As for the formation energy: -0.460 eV per atom. Its density of states at the Fermi level is 9.264 states/eV per cell. As for the magnetization: 0.0 μB/cell.

=====

## MgTaPt4 (PBE)

Data for crystalline MgTaPt4 at its relaxed geometry.

a = 9.5287 Å, b = 2.8362 Å, c = 7.8219 Å
α = 90.00°, β = 114.18°, γ = 90.00°
Closest atoms and distances in Å follow each position.
Space group C2/m (No. 12)
Symmetry-distinct sites (fractional):
Mg: 0.0000 0.0000 0.0000  10 Pt 2.81-2.93, 2 Mg 2.84
Ta: 0.0000 0.0000 0.5000  10 Pt 2.80-2.91, 2 Ta 2.84
Pt: 0.1633 0.5000 0.8309  2 Ta 2.80, 3 Mg 2.81-2.93, 7 Pt 2.84-2.86
Pt: 0.1649 0.5000 0.3340  3 Ta 2.80-2.91, 7 Pt 2.82-2.85, 2 Mg 2.82

Values from the calculation:
As for the formation energy: -0.661 eV per atom. Its density of states at the Fermi level is 5.375 states/eV per cell. As for the magnetization: 0.0 μB/cell.

=====

## KHoRe2N6 (PBE)

Data for crystalline KHoRe2N6 at its relaxed geometry.

a = 11.3002 Å, b = 10.5962 Å, c = 6.3742 Å
α = 90.00°, β = 110.43°, γ = 90.00°
Closest atoms and distances in Å follow each position.
Space group C2/c (No. 15)
Symmetry-distinct sites (fractional):
K: 0.0000 0.0844 0.2500  6 N 2.66-2.86
Ho: 0.0000 0.2917 0.7500  6 N 2.32-2.56
Re: 0.2052 0.4158 0.1792  4 N 1.75-1.93
N: 0.1061 0.2839 0.1347  1 Re 1.75
N: 0.1358 0.1367 0.7090  1 Re 1.78
N: 0.1614 0.4710 0.8789  2 Re 1.89-1.93

Values from the calculation:
For the raw formation energy, the calculation gives -3.789 eV/f.u. As for the magnetization: 0.0 μB/cell.

=====

## Ba2CaNi (PBE)

Data for crystalline Ba2CaNi at its relaxed geometry.

a = 12.5238 Å, b = 4.0646 Å, c = 7.2712 Å
α = 90.00°, β = 117.38°, γ = 90.00°
Closest atoms and distances in Å follow each position.
Space group Cm (No. 8)
Symmetry-distinct sites (fractional):
Ba: 0.0000 0.0000 0.0000  2 Ni 3.09
Ba: 0.1693 0.0000 0.6667  3 Ni 3.42-3.52
Ca: 0.3245 0.5000 0.3508  2 Ni 2.85
Ni: 0.4454 0.0000 0.6486  2 Ca 2.85, 2 Ba 3.09

Values from the calculation:
As for the formation energy: 0.082 eV per atom. Its density of states at the Fermi level is 7.152 states/eV per cell. As for the magnetization: 0.0 μB/cell.

=====

## TbCeDy2S4 (PBE)

Data for crystalline TbCeDy2S4 at its relaxed geometry.

a = 6.8281 Å, b = 3.9206 Å, c = 6.8420 Å
α = 90.00°, β = 109.25°, γ = 90.00°
Closest atoms and distances in Å follow each position.
Space group P2/m (No. 10)
Symmetry-distinct sites (fractional):
Tb: 0.0000 0.0000 0.0000  6 S 2.79-2.80
Ce: 0.5000 0.5000 0.0000  6 S 2.83
Dy: 0.0000 0.5000 0.5000  6 S 2.74-2.75
Dy: 0.5000 0.0000 0.5000  6 S 2.78
S: 0.2434 0.0000 0.7419  3 Dy 2.74-2.78, 1 Tb 2.80, 2 Ce 2.83
S: 0.2479 0.5000 0.2549  3 Dy 2.75-2.78, 2 Tb 2.79, 1 Ce 2.83

Values from the calculation:
For the raw formation energy, the calculation gives -16.128 eV/f.u. Its density of states at the Fermi level is 7.390 states/eV per cell. As for the magnetization: 0.7 μB/cell.

=====

## AlCr2Ru (PBE)

Data for crystalline AlCr2Ru at its relaxed geometry.

a = 6.8413 Å, b = 6.8413 Å, c = 4.9460 Å
α = 90.00°, β = 90.00°, γ = 90.00°
Closest atoms and distances in Å follow each position.
Space group I-42d (No. 122)
Symmetry-distinct sites (fractional):
Al: 0.0000 0.0000 0.0000  2 Ru 2.47, 4 Cr 2.64
Cr: 0.2194 0.7500 0.6250  2 Ru 2.36, 2 Cr 2.51
Ru: 0.0000 0.0000 0.5000  4 Cr 2.36, 2 Al 2.47

Values from the calculation:
As for the formation energy: 0.555 eV per atom. Its density of states at the Fermi level is 25.663 states/eV per cell. As for the magnetization: 0.0 μB/cell.

=====

## Hg2MoW (PBE)

Data for crystalline Hg2MoW at its relaxed geometry.

a = 2.9195 Å, b = 4.2127 Å, c = 6.1112 Å
α = 90.00°, β = 92.41°, γ = 90.00°
Closest atoms and distances in Å follow each position.
Space group Pm (No. 6)
Symmetry-distinct sites (fractional):
Hg: 0.0000 0.0000 0.0000  1 W 2.87, 6 Hg 2.92-3.03, 4 Mo 2.99-3.12
Hg: 0.4707 0.5000 0.7372  1 Mo 2.87, 6 Hg 2.92-3.03, 4 W 3.00-3.12
Mo: 0.5683 0.5000 0.2721  2 W 2.58, 1 Hg 2.87
W: 0.9020 0.0000 0.4646  2 Mo 2.58, 1 Hg 2.87

Values from the calculation:
As for the formation energy: 0.617 eV per atom. Its density of states at the Fermi level is 2.079 states/eV per cell. As for the magnetization: 0.0 μB/cell.